No. 1
DFT (GGA-PBE) results for a geometry-optimized Tl3Ge2Te4 structure.

Cell: 16.348 9.335 8.751 Å, 90.00 94.01 90.00°
Space group C2/c (No. 15)
Symmetry-distinct sites (fractional):
Tl 0.000 0.013 0.250 (multiplicity 4)
Tl 0.126 0.394 0.357 (multiplicity 8)
Ge 0.195 0.154 0.020 (multiplicity 8)
Te 0.051 0.273 0.986 (multiplicity 8)
Te 0.222 0.064 0.323 (multiplicity 8)

Values from the calculation:
Polymorph energy (0 for the lowest one), kcal/mol of atoms: 0.00
Uncorrected formation energy, eV/atom: -0.166
Total magnetization, Bohr magnetons per cell: 0.0


No. 2
DFT (GGA-PBE) results for a geometry-optimized Tl4GeTe5 structure.

Cell: 9.861 9.861 6.809 Å, 90.00 90.00 90.00°
Space group I4 (No. 79)
Symmetry-distinct sites (fractional):
Tl 0.087 0.690 0.000 (multiplicity 8)
Ge 0.000 0.000 0.547 (multiplicity 2)
Te 0.000 0.000 0.946 (multiplicity 2)
Te 0.101 0.724 0.478 (multiplicity 8)

Values from the calculation:
Polymorph energy (0 for the lowest one), kcal/mol of atoms: 0.00
Uncorrected formation energy, eV/atom: -0.138
Total magnetization, Bohr magnetons per cell: 0.0


No. 3
DFT (GGA-PBE) results for a geometry-optimized Tl5GeTe5 structure.

Cell: 14.429 6.292 9.469 Å, 90.00 109.40 90.00°
Space group C2/m (No. 12)
Symmetry-distinct sites (fractional):
Tl 0.000 0.000 0.000 (multiplicity 2)
Tl 0.175 0.500 0.352 (multiplicity 4)
Tl 0.187 0.500 0.815 (multiplicity 4)
Ge 0.000 0.000 0.500 (multiplicity 2)
Te 0.000 0.500 0.500 (multiplicity 2)
Te 0.151 0.000 0.344 (multiplicity 4)
Te 0.159 0.000 0.814 (multiplicity 4)

Values from the calculation:
Uncorrected formation energy, eV/atom: -0.125
Total magnetization, Bohr magnetons per cell: 0.0


No. 4
DFT (GGA-PBE) results for a geometry-optimized Tl3GeTe3 structure.

Cell: 9.799 9.958 10.690 Å, 89.59 82.75 79.11°
Space group P-1 (No. 2)
Symmetry-distinct sites (fractional):
Tl 0.010 0.372 0.348 (multiplicity 2)
Tl 0.143 0.228 0.911 (multiplicity 2)
Tl 0.191 0.716 0.240 (multiplicity 2)
Tl 0.314 0.838 0.838 (multiplicity 2)
Tl 0.379 0.048 0.348 (multiplicity 2)
Tl 0.403 0.426 0.659 (multiplicity 2)
Ge 0.077 0.985 0.585 (multiplicity 2)
Ge 0.408 0.428 0.017 (multiplicity 2)
Te 0.076 0.065 0.208 (multiplicity 2)
Te 0.171 0.216 0.591 (multiplicity 2)
Te 0.187 0.559 0.923 (multiplicity 2)
Te 0.283 0.777 0.529 (multiplicity 2)
Te 0.370 0.385 0.259 (multiplicity 2)
Te 0.497 0.200 0.888 (multiplicity 2)

Values from the calculation:
Polymorph energy (0 for the lowest one), kcal/mol of atoms: 0.00
Uncorrected formation energy, eV/atom: -0.256
Total magnetization, Bohr magnetons per cell: 0.0


No. 5
DFT (GGA-PBE) results for a geometry-optimized Tl2GeTe2 structure.

Cell: 4.379 22.629 6.871 Å, 90.00 90.00 90.00°
Space group Cmc2_1 (No. 36)
Symmetry-distinct sites (fractional):
Tl 0.000 0.031 0.000 (multiplicity 4)
Tl 0.000 0.200 0.259 (multiplicity 4)
Ge 0.000 0.401 0.203 (multiplicity 4)
Te 0.000 0.175 0.773 (multiplicity 4)
Te 0.000 0.408 0.807 (multiplicity 4)

Values from the calculation:
Polymorph energy (0 for the lowest one), kcal/mol of atoms: 0.00
Uncorrected formation energy, eV/atom: -0.178
Total magnetization, Bohr magnetons per cell: 0.0


No. 6
DFT (GGA-PBE) results for a geometry-optimized TlGe2Te structure.

Cell: 7.328 7.328 7.328 Å, 90.00 90.00 90.00°
Space group Fm-3m (No. 225)
Symmetry-distinct sites (fractional):
Tl 0.000 0.000 0.000 (multiplicity 4)
Ge 0.250 0.250 0.250 (multiplicity 8)
Te 0.000 0.000 0.500 (multiplicity 4)

Values from the calculation:
Uncorrected formation energy, eV/atom: 0.310
Total magnetization, Bohr magnetons per cell: 0.0


No. 7
DFT (GGA-PBE) results for a geometry-optimized TlGe6Te8 structure.

Cell: 10.9740 10.9740 4.2871 Å, 90.00 90.00 120.00°
Space group P-3 (No. 147)
Symmetry-distinct sites (fractional):
Tl 0.0000 0.0000 0.0000 (multiplicity 1)
Ge 0.1350 0.4832 0.2484 (multiplicity 6)
Te 0.0339 0.6905 0.2499 (multiplicity 6)
Te 0.3333 0.6667 0.7497 (multiplicity 2)

Values from the calculation:
Polymorph energy (0 for the lowest one), kcal/mol of atoms: 0.00
Uncorrected formation energy, eV/atom: -0.046
Total magnetization, Bohr magnetons per cell: 0.0


No. 8
DFT (GGA-PBE) results for a geometry-optimized Tl12GeTe7 structure.

Cell: 15.0882 15.0882 12.1819 Å, 90.00 90.00 120.00°
Space group R-3 (No. 148, hexagonal axes)
Symmetry-distinct sites (fractional):
Tl 0.0047 0.2564 0.0845 (multiplicity 18)
Tl 0.0254 0.1745 0.3328 (multiplicity 18)
Ge 0.0000 0.0000 0.0000 (multiplicity 3)
Te 0.0000 0.0000 0.5000 (multiplicity 3)
Te 0.0175 0.1743 0.8445 (multiplicity 18)

Values from the calculation:
Uncorrected formation energy, eV/atom: -0.209
Total magnetization, Bohr magnetons per cell: 0.0


No. 9
DFT (GGA-PBE) results for a geometry-optimized Tl2GeTe2 structure.

Cell: 8.221 8.221 4.866 Å, 90.00 90.00 90.00°
Space group P4/mbm (No. 127)
Symmetry-distinct sites (fractional):
Tl 0.141 0.359 0.000 (multiplicity 4)
Ge 0.000 0.000 0.500 (multiplicity 2)
Te 0.176 0.676 0.500 (multiplicity 4)

Values from the calculation:
Polymorph energy (0 for the lowest one), kcal/mol of atoms: 4.10
Uncorrected formation energy, eV/atom: 0.000
Total magnetization, Bohr magnetons per cell: 0.0


No. 10
DFT (GGA-PBE) results for a geometry-optimized Tl5GeTe4 structure.

Cell: 9.759 10.834 8.006 Å, 90.00 90.00 90.00°
Space group Pmmn (No. 59, origin choice 2)
Symmetry-distinct sites (fractional):
Tl 0.068 0.007 0.239 (multiplicity 8)
Tl 0.250 0.250 0.749 (multiplicity 2)
Ge 0.250 0.750 0.821 (multiplicity 2)
Te 0.013 0.750 0.012 (multiplicity 4)
Te 0.250 0.541 0.628 (multiplicity 4)

Values from the calculation:
Polymorph energy (0 for the lowest one), kcal/mol of atoms: 0.00
Uncorrected formation energy, eV/atom: -0.201
Total magnetization, Bohr magnetons per cell: 0.0


No. 11
DFT (GGA-PBE) results for a geometry-optimized Tl3Ge2Te4 structure.

Cell: 15.068 11.970 7.107 Å, 90.00 94.55 90.00°
Space group C2/c (No. 15)
Symmetry-distinct sites (fractional):
Tl 0.000 0.111 0.250 (multiplicity 4)
Tl 0.115 0.374 0.960 (multiplicity 8)
Ge 0.202 0.126 0.573 (multiplicity 8)
Te 0.117 0.341 0.449 (multiplicity 8)
Te 0.163 0.095 0.944 (multiplicity 8)

Values from the calculation:
Polymorph energy (0 for the lowest one), kcal/mol of atoms: 0.21
Uncorrected formation energy, eV/atom: -0.156
Total magnetization, Bohr magnetons per cell: 0.0


No. 12
DFT (GGA-PBE) results for a geometry-optimized TlGeTe structure.

Cell: 4.7768 4.7768 4.6551 Å, 90.00 90.00 120.00°
Space group P3m1 (No. 156)
Symmetry-distinct sites (fractional):
Tl 0.0000 0.0000 0.0000 (multiplicity 1)
Ge 0.6667 0.3333 0.3805 (multiplicity 1)
Te 0.3333 0.6667 0.5723 (multiplicity 1)

Values from the calculation:
Polymorph energy (0 for the lowest one), kcal/mol of atoms: 0.94
Uncorrected formation energy, eV/atom: 0.087
Total magnetization, Bohr magnetons per cell: 0.0